A | Density functional theory data (PBE) for crystalline SnIrPt at its relaxed geometry.

Calculated values
As for the crystal system: cubic. Its calculated volume is 59.9 Å³/cell. As for the symmetry: F-43m.

```
data_SnIrPt
_chemical_formula_sum 'Sn1 Ir1 Pt1'
_space_group_name_H-M_alt 'P 1'
_space_group_IT_number 1
_cell_length_a 4.391
_cell_length_b 4.391
_cell_length_c 4.391
_cell_angle_alpha 60.00
_cell_angle_beta 60.00
_cell_angle_gamma 60.00
loop_
_space_group_symop_operation_xyz
'x,y,z'
loop_
_atom_site_label
_atom_site_type_symbol
_atom_site_fract_x
_atom_site_fract_y
_atom_site_fract_z
Ir1 Ir 0.000 0.000 0.000
Pt1 Pt 0.250 0.250 0.250
Sn1 Sn 0.750 0.750 0.750
```

***

B | Density functional theory data (PBE) for crystalline SnIrPt at its relaxed geometry.

Calculated values
As for the crystal system: hexagonal. Its calculated volume is 159.3 Å³/cell. As for the symmetry: P-62m.

```
data_SnIrPt
_chemical_formula_sum 'Sn3 Ir3 Pt3'
_space_group_name_H-M_alt 'P 1'
_space_group_IT_number 1
_cell_length_a 6.950
_cell_length_b 6.950
_cell_length_c 3.808
_cell_angle_alpha 90.00
_cell_angle_beta 90.00
_cell_angle_gamma 120.00
loop_
_space_group_symop_operation_xyz
'x,y,z'
loop_
_atom_site_label
_atom_site_type_symbol
_atom_site_fract_x
_atom_site_fract_y
_atom_site_fract_z
Ir1 Ir 0.603 0.000 0.500
Ir2 Ir 0.397 0.397 0.500
Ir3 Ir 0.000 0.603 0.500
Pt1 Pt 0.265 0.000 0.000
Pt2 Pt 0.000 0.265 0.000
Pt3 Pt 0.735 0.735 0.000
Sn1 Sn 0.667 0.333 0.000
Sn2 Sn 0.333 0.667 0.000
Sn3 Sn 0.000 0.000 0.500
```

***

Which of them is most stable? Easy: A.